1.
Below is an optimized crystal structure of Na5B8C2, with properties calculated at the PBE level.

Lattice parameters (Å, degrees): 23.4263 2.8228 10.1419 90.00 106.07 90.00
With the nearest neighbours (Å) after each atom.
Space group C2/m (No. 12)
Symmetry-distinct sites (fractional):
Na: 0.0000 0.0000 0.0000  10 B 2.68-2.83, 6 Na 2.82-3.00, 2 C 2.85
Na: 0.0000 0.5000 0.5000  8 B 2.68-2.82, 4 C 2.70, 6 Na 2.82-2.98
Na: 0.0995 0.0000 0.6979  10 B 2.69-2.87, 2 C 2.79-2.81, 6 Na 2.82-2.99
Na: 0.0997 0.5000 0.2014  10 B 2.69-2.93, 2 C 2.70, 6 Na 2.82-3.00
Na: 0.1987 0.5000 0.8990  10 B 2.69-2.96, 2 C 2.74, 4 Na 2.82-2.99
Na: 0.1995 0.0000 0.4041  9 B 2.68-2.84, 3 C 2.73-2.75, 6 Na 2.82-3.00
B: 0.0118 0.5000 0.7728  2 C 1.63, 1 B 1.73
B: 0.0772 0.5000 0.9044  3 B 1.73-1.80
B: 0.0787 0.0000 0.4090  1 C 1.58
B: 0.1195 0.0000 0.9898  3 B 1.66-1.80
B: 0.1190 0.5000 0.4893  3 B 1.73-1.77
B: 0.1824 0.0000 0.1155  3 B 1.66-1.81
B: 0.1850 0.5000 0.6196  2 C 1.64, 1 B 1.73
B: 0.2249 0.5000 0.2013  1 C 1.54
C: 0.0190 0.0000 0.2895  3 B 1.58-1.63
C: 0.2167 0.0000 0.6818  3 B 1.54-1.64

Computed properties:
Calculated volume ... 161.1 Å³/f.u.
E_form ... 0.180 eV/atom
ΔE to the lowest computed polymorph ... 0.010 eV/atom
DOS at the Fermi energy ... 4.06 states/eV/f.u.
Mass density ... 2.3 Mg/m³
Magnetic moment ... 0.00 μB per cell
Total DFT energy (no corrections) ... -5.051 eV/atom


2.
Below is an optimized crystal structure of Na5B6C4, with properties calculated at the PBE level.

Lattice parameters (Å, degrees): 2.8331 25.0072 8.4766 90.00 90.00 90.00
With the nearest neighbours (Å) after each atom.
Space group Cmcm (No. 63)
Symmetry-distinct sites (fractional):
Na: 0.0000 0.0000 0.0000  6 B 2.65-2.68, 6 C 2.67-2.68, 6 Na 2.83-2.86
Na: 0.0000 0.1996 0.0023  9 B 2.66-2.78, 3 C 2.72-2.74, 6 Na 2.83-2.89
Na: 0.0000 0.4005 0.9999  6 B 2.62-2.70, 6 C 2.65-2.71, 6 Na 2.83-2.88
B: 0.0000 0.0636 0.2500  3 C 1.62-1.64
B: 0.0000 0.1307 0.7500  3 C 1.63
B: 0.0000 0.2674 0.7500  3 B 1.74-1.79
B: 0.0000 0.2727 0.2500  1 C 1.61, 2 B 1.74
B: 0.0000 0.3391 0.7500  2 C 1.62, 1 B 1.79
B: 0.0000 0.4665 0.2500  3 C 1.63
C: 0.0000 0.0655 0.7500  3 B 1.63
C: 0.0000 0.1291 0.2500  3 B 1.62-1.64
C: 0.0000 0.3372 0.2500  3 B 1.61-1.63
C: 0.0000 0.4682 0.7500  3 B 1.62-1.63

Computed properties:
Calculated volume ... 150.1 Å³/f.u.
E_form ... 0.061 eV/atom
ΔE to the lowest computed polymorph ... 0.010 eV/atom
DOS at the Fermi energy ... 3.70 states/eV/f.u.
Mass density ... 2.5 Mg/m³
Magnetic moment ... 0.02 μB per cell
Total DFT energy (no corrections) ... -5.509 eV/atom